The following is a GGA-PBE calculation of a geometry-optimized Dy4FeS7 structure, from the Alexandria database.

```
12
Lattice="1.8906 6.2043 -0.2018 -1.8906 6.2043 -0.2018 0.0000 2.4953 10.3226" Properties=species:S:1:pos:R:3 pbc="T T T"
S 0.0000 10.5902 6.0903
S 0.0000 6.7433 5.2364
S 0.0000 1.2305 2.7186
S 0.0000 13.9813 7.6206
S 0.0000 10.6544 9.5133
S 0.0000 4.4746 3.5696
S 0.0000 4.5046 0.3557
Dy 0.0000 9.4010 1.7754
Dy 0.0000 5.8358 7.9564
Dy 0.0000 2.4865 5.4419
Dy 0.0000 0.1737 0.1400
Fe 0.0000 11.8951 4.1363
```

Calculated values
**Spin magnetization**: 0.1 μB per cell
**Electronic total energy**: -75.8 eV/cell
**DOS(E_F)**: 3.660 states/eV per cell
**Formation energy (no corrections)**: -1.6705 eV per atom
**Space group**: Cm, No. 8